DFT (PBE with a Hubbard U) results for a relaxed FeP2SF crystal.

Structure (extended XYZ):
```
5
Lattice="4.4873 0.0000 0.0000 0.0000 4.4873 0.0000 0.0000 0.0000 4.4187" Properties=species:S:1:pos:R:3 pbc="T T T"
Fe 0.0000 0.0000 0.0000
P 0.0000 2.2436 0.0000
P 2.2436 0.0000 0.0000
S 0.0000 0.0000 2.2094
F 2.2436 2.2436 2.2094
```

Computed properties:
The value obtained for the total energy is -3.874 eV/atom. The value obtained for the total magnetic moment is 3.653 μB/cell.